Density functional theory data (PBE) for crystalline Pa6MnN12 at its relaxed geometry.

formation energy from raw total energies	-25.07	eV per formula unit
electronic total energy	-191.12	eV per cell
density of states at the Fermi level	13.6	states/eV/cell

a = 6.5164 Å, b = 6.5164 Å, c = 6.5164 Å
α = 98.82°, β = 98.82°, γ = 98.82°
Closest atoms and distances in Å follow each position.
Positions (direct):
Pa: 0.0993 0.6356 0.7884  7 N 2.21-2.46
Pa: 0.2116 0.9007 0.3644  7 N 2.21-2.46
Pa: 0.3644 0.2116 0.9007  7 N 2.21-2.46
Pa: 0.6356 0.7884 0.0993  7 N 2.21-2.46
Pa: 0.7884 0.0993 0.6356  7 N 2.21-2.46
Pa: 0.9007 0.3644 0.2116  7 N 2.21-2.46
Mn: 0.5000 0.5000 0.5000  6 N 2.07
N: 0.0616 0.3245 0.9048  4 Pa 2.21-2.42
N: 0.0952 0.9384 0.6755  4 Pa 2.21-2.42
N: 0.1945 0.5555 0.4379  1 Mn 2.07, 1 Pa 2.29
N: 0.3245 0.9048 0.0616  4 Pa 2.21-2.42
N: 0.4379 0.1945 0.5555  1 Mn 2.07, 1 Pa 2.29
N: 0.4445 0.5621 0.8055  1 Mn 2.07, 1 Pa 2.29
N: 0.5555 0.4379 0.1945  1 Mn 2.07, 1 Pa 2.29
N: 0.5621 0.8055 0.4445  1 Mn 2.07, 1 Pa 2.29
N: 0.6755 0.0952 0.9384  4 Pa 2.21-2.42
N: 0.8055 0.4445 0.5621  1 Mn 2.07, 1 Pa 2.29
N: 0.9048 0.0616 0.3245  4 Pa 2.21-2.42
N: 0.9384 0.6755 0.0952  4 Pa 2.21-2.42